Record 1
Material: MnTcSe2
Method: DFT, PBE
State: optimized geometry

Lattice parameters (Å, degrees): 3.739 3.799 6.530 90.00 90.09 90.00
Fractional positions:
Mn: 0.000 0.000 0.000
Tc: 0.500 0.500 0.005
Se: 0.501 0.000 0.249
Se: 0.999 0.500 0.757

Relative energy among the computed polymorphs ... 0 meV per atom
Calculated total energy ... -6.928 eV per atom
Energy relative to the elements, uncorrected ... -1.2 eV/f.u.
Crystal system ... monoclinic


Record 2
Material: Mg3Sn3Pd2Rh
Method: DFT, PBE
State: optimized geometry

Lattice parameters (Å, degrees): 7.559 7.559 3.485 90.00 90.00 120.00
Fractional positions:
Mg: 0.000 0.614 0.000
Mg: 0.386 0.386 0.000
Mg: 0.614 0.000 0.000
Sn: 0.000 0.276 0.500
Sn: 0.276 0.000 0.500
Sn: 0.724 0.724 0.500
Pd: 0.333 0.667 0.500
Pd: 0.667 0.333 0.500
Rh: 0.000 0.000 0.000

Energy relative to the elements ... -546 meV/atom
Calculated total energy ... -4.383 eV per atom
Crystal system ... hexagonal


Record 3
Material: CuC
Method: DFT, PBE
State: optimized geometry

Lattice parameters (Å, degrees): 3.021 3.021 2.436 90.00 90.00 120.00
Fractional positions:
Cu: 0.000 0.000 0.000
C: 0.333 0.667 0.500

Energy relative to the elements ... 1680 meV/atom
Relative energy among the computed polymorphs ... 1460 meV per atom
Calculated total energy ... -4.980 eV per atom
Crystal system ... hexagonal


Record 4
Material: Ac3La3DyTe8
Method: DFT, PBE
State: optimized geometry

Lattice parameters (Å, degrees): 9.309 9.309 9.309 59.37 59.37 59.37
Fractional positions:
Ac: 0.000 0.500 0.500
Ac: 0.500 0.000 0.500
Ac: 0.500 0.500 0.000
La: 0.000 0.000 0.500
La: 0.000 0.500 0.000
La: 0.500 0.000 0.000
Dy: 0.500 0.500 0.500
Te: 0.247 0.247 0.247
Te: 0.252 0.742 0.742
Te: 0.258 0.258 0.748
Te: 0.258 0.748 0.258
Te: 0.742 0.252 0.742
Te: 0.742 0.742 0.252
Te: 0.748 0.258 0.258
Te: 0.753 0.753 0.753

Calculated total energy ... -5.325 eV per atom
Energy relative to the elements, uncorrected ... -23.0 eV/f.u.
Crystal system ... trigonal


Record 5
Material: Y2GaCu2
Method: DFT, PBE
State: optimized geometry

Lattice parameters (Å, degrees): 9.014 9.014 9.014 157.81 157.81 31.58
Fractional positions:
Y: 0.109 0.109 0.000
Y: 0.891 0.891 0.000
Ga: 0.500 0.500 0.000
Cu: 0.250 0.750 0.500
Cu: 0.750 0.250 0.500

Energy relative to the elements ... -209 meV/atom
Calculated total energy ... -5.038 eV per atom
Crystal system ... tetragonal


Record 6
Material: ZnCr2Ir2
Method: DFT, PBE
State: optimized geometry

Lattice parameters (Å, degrees): 7.307 7.307 2.684 90.00 90.00 90.00
Fractional positions:
Zn: 0.000 0.000 0.000
Zn: 0.500 0.500 0.000
Cr: 0.165 0.335 0.500
Cr: 0.335 0.835 0.500
Cr: 0.665 0.165 0.500
Cr: 0.835 0.665 0.500
Ir: 0.130 0.630 0.000
Ir: 0.370 0.130 0.000
Ir: 0.630 0.870 0.000
Ir: 0.870 0.370 0.000

Energy relative to the elements ... 9 meV/atom
Relative energy among the computed polymorphs ... 0 meV per atom
Calculated total energy ... -7.640 eV per atom
Crystal system ... tetragonal


Record 7
Material: ReAu2Se
Method: DFT, PBE
State: optimized geometry

Lattice parameters (Å, degrees): 6.744 6.744 6.744 155.38 140.23 47.34
Fractional positions:
Re: 0.000 0.000 0.000
Au: 0.452 0.452 0.000
Au: 0.799 0.299 0.500
Se: 0.158 0.658 0.500

Calculated total energy ... -5.253 eV per atom
Energy relative to the elements, uncorrected ... 1.5 eV/f.u.
Crystal system ... orthorhombic


Record 8
Material: PmDyThCd
Method: DFT, PBE
State: optimized geometry

Lattice parameters (Å, degrees): 5.511 5.511 5.511 60.00 60.00 60.00
Fractional positions:
Pm: 0.000 0.000 0.000
Dy: 0.750 0.750 0.750
Th: 0.250 0.250 0.250
Cd: 0.500 0.500 0.500

Energy relative to the elements ... 73 meV/atom
Relative energy among the computed polymorphs ... 240 meV per atom
Calculated total energy ... -4.349 eV per atom
Crystal system ... cubic


Record 9
Material: HfNiHg3
Method: DFT, PBE
State: optimized geometry

Lattice parameters (Å, degrees): 5.494 5.494 5.494 90.00 90.00 90.00
Fractional positions:
Hf: 0.000 0.000 0.000
Ni: 0.500 0.500 0.500
Hg: 0.000 0.000 0.500
Hg: 0.000 0.500 0.000
Hg: 0.500 0.000 0.000

Energy relative to the elements ... 1201 meV/atom
Relative energy among the computed polymorphs ... 623 meV per atom
Calculated total energy ... -2.127 eV per atom
Crystal system ... cubic


Record 10
Material: PuH4Pd5
Method: DFT, PBE
State: optimized geometry

Lattice parameters (Å, degrees): 5.844 8.372 4.825 90.00 90.00 90.00
Fractional positions:
Pu: 0.250 0.250 0.225
Pu: 0.750 0.750 0.775
H: 0.062 0.750 0.453
H: 0.250 0.530 0.902
H: 0.250 0.970 0.902
H: 0.438 0.750 0.453
H: 0.562 0.250 0.547
H: 0.750 0.030 0.098
H: 0.750 0.470 0.098
H: 0.938 0.250 0.547
Pd: 0.003 0.579 0.247
Pd: 0.003 0.921 0.247
Pd: 0.250 0.750 0.771
Pd: 0.497 0.579 0.247
Pd: 0.497 0.921 0.247
Pd: 0.503 0.079 0.753
Pd: 0.503 0.421 0.753
Pd: 0.750 0.250 0.229
Pd: 0.997 0.079 0.753
Pd: 0.997 0.421 0.753

Calculated total energy ... -5.586 eV per atom
Crystal system ... orthorhombic


Record 11
Material: SrPuAsAu
Method: DFT, PBE
State: optimized geometry

Lattice parameters (Å, degrees): 5.267 5.267 5.267 60.00 60.00 60.00
Fractional positions:
Sr: 0.000 0.000 0.000
Pu: 0.500 0.500 0.500
As: 0.250 0.250 0.250
Au: 0.750 0.750 0.750

Energy relative to the elements ... -702 meV/atom
Calculated total energy ... -6.687 eV per atom
Crystal system ... cubic


Record 12
Material: InSnBi2Au4
Method: DFT, PBE
State: optimized geometry

Lattice parameters (Å, degrees): 8.264 8.264 8.264 122.59 117.64 89.86
Fractional positions:
In: 0.500 0.000 0.000
In: 0.500 0.500 0.500
Sn: 0.000 0.000 0.000
Sn: 0.500 0.000 0.500
Bi: 0.000 0.000 0.500
Bi: 0.000 0.500 0.000
Bi: 0.000 0.500 0.500
Bi: 0.500 0.500 0.000
Au: 0.253 0.244 0.010
Au: 0.255 0.242 0.487
Au: 0.255 0.767 0.013
Au: 0.266 0.756 0.510
Au: 0.734 0.244 0.490
Au: 0.745 0.233 0.987
Au: 0.745 0.758 0.513
Au: 0.747 0.756 0.990

Energy relative to the elements ... -77 meV/atom
Calculated total energy ... -3.529 eV per atom
Crystal system ... orthorhombic


The lowest calculated total energy belongs to which entry?
ZnCr2Ir2


Which value of calculated total energy does entry 7 give?
-5.253 eV per atom


Number 8 is which compound?
PmDyThCd


What is the formula in the eighth record?
PmDyThCd